Record 1
DFT (GGA-PBE) results for crystalline LiB2As2 at its relaxed geometry.

Cell lengths 3.601, 3.601, 12.819 Å; angles 90.00, 90.00, 90.00 degrees
Atoms (fractional coordinates):
Li: 0.000 0.000 0.000
Li: 0.500 0.500 0.500
B: 0.000 0.500 0.250
B: 0.000 0.500 0.750
B: 0.500 0.000 0.250
B: 0.500 0.000 0.750
As: 0.000 0.000 0.347
As: 0.000 0.000 0.653
As: 0.500 0.500 0.153
As: 0.500 0.500 0.847

**Energy of formation**: 0.47 eV per atom
**Distance to the lowest polymorph of the same formula**: 0.00 eV per formula unit
**E**: -44.46 eV per cell
**Size of the total moment**: 0.00 μB/f.u.

***

Record 2
DFT (GGA-PBE) results for crystalline MgSc2C at its relaxed geometry.

Cell lengths 3.318, 3.318, 24.419 Å; angles 90.00, 90.00, 120.00 degrees
Atoms (fractional coordinates):
Mg: 0.000 0.000 0.000
Mg: 0.333 0.667 0.667
Mg: 0.667 0.333 0.333
Sc: 0.000 0.000 0.217
Sc: 0.000 0.000 0.783
Sc: 0.333 0.667 0.450
Sc: 0.333 0.667 0.884
Sc: 0.667 0.333 0.116
Sc: 0.667 0.333 0.550
C: 0.000 0.000 0.500
C: 0.333 0.667 0.167
C: 0.667 0.333 0.833

**Energy of formation**: -0.36 eV per atom
**E**: -74.79 eV per cell
**Size of the total moment**: 0.00 μB/f.u.

***

Record 3
DFT (GGA-PBE) results for crystalline RbIr2Cl8 at its relaxed geometry.

Cell lengths 4.920, 7.426, 9.231 Å; angles 108.15, 104.77, 90.56 degrees
Atoms (fractional coordinates):
Rb: 0.000 0.000 0.000
Ir: 0.305 0.411 0.616
Ir: 0.695 0.589 0.384
Cl: 0.204 0.550 0.404
Cl: 0.212 0.116 0.431
Cl: 0.398 0.719 0.799
Cl: 0.399 0.283 0.816
Cl: 0.601 0.717 0.184
Cl: 0.602 0.281 0.201
Cl: 0.788 0.884 0.569
Cl: 0.796 0.450 0.596

**Raw formation energy**: -566 meV per atom
**E**: -39.69 eV per cell
**Size of the total moment**: 1.60 μB/f.u.

***

Record 4
DFT (GGA-PBE) results for crystalline LiYC at its relaxed geometry.

Cell lengths 3.754, 3.754, 6.932 Å; angles 90.00, 90.00, 120.00 degrees
Atoms (fractional coordinates):
Li: 0.333 0.667 0.000
Li: 0.667 0.333 0.500
Y: 0.000 0.000 0.250
Y: 0.000 0.000 0.750
C: 0.333 0.667 0.427
C: 0.667 0.333 0.927

**Energy of formation**: 0.01 eV per atom
**Distance to the lowest polymorph of the same formula**: 0.42 eV per formula unit
**E**: -35.17 eV per cell
**Size of the total moment**: 0.00 μB/f.u.

***

Record 5
DFT (GGA-PBE) results for crystalline Y2BiAs2 at its relaxed geometry.

Cell lengths 4.019, 4.019, 15.800 Å; angles 90.00, 90.00, 90.00 degrees
Atoms (fractional coordinates):
Y: 0.000 0.000 0.113
Y: 0.000 0.000 0.887
Y: 0.500 0.500 0.387
Y: 0.500 0.500 0.613
Bi: 0.000 0.000 0.500
Bi: 0.500 0.500 0.000
As: 0.000 0.500 0.250
As: 0.000 0.500 0.750
As: 0.500 0.000 0.250
As: 0.500 0.000 0.750

**Energy of formation**: -0.89 eV per atom
**Distance to the lowest polymorph of the same formula**: 0.12 eV per formula unit
**E**: -61.10 eV per cell
**Size of the total moment**: 0.00 μB/f.u.

***

Record 6
DFT (GGA-PBE) results for crystalline LiSn4Br8 at its relaxed geometry.

Cell lengths 8.277, 8.277, 8.277 Å; angles 65.51, 65.51, 65.51 degrees
Atoms (fractional coordinates):
Li: 0.000 0.000 0.000
Sn: 0.000 0.000 0.500
Sn: 0.000 0.500 0.000
Sn: 0.500 0.000 0.000
Sn: 0.500 0.500 0.500
Br: 0.242 0.757 0.757
Br: 0.243 0.243 0.758
Br: 0.243 0.758 0.243
Br: 0.248 0.248 0.248
Br: 0.752 0.752 0.752
Br: 0.757 0.242 0.757
Br: 0.757 0.757 0.242
Br: 0.758 0.243 0.243

**Raw formation energy**: -724 meV per atom
**E**: -40.72 eV per cell
**Size of the total moment**: 0.00 μB/f.u.

***

Record 7
DFT (GGA-PBE) results for crystalline Th2MgPb at its relaxed geometry.

Cell lengths 7.818, 7.818, 7.818 Å; angles 90.00, 90.00, 90.00 degrees
Atoms (fractional coordinates):
Th: 0.250 0.250 0.250
Th: 0.250 0.250 0.750
Th: 0.250 0.750 0.250
Th: 0.250 0.750 0.750
Th: 0.750 0.250 0.250
Th: 0.750 0.250 0.750
Th: 0.750 0.750 0.250
Th: 0.750 0.750 0.750
Mg: 0.000 0.000 0.000
Mg: 0.000 0.500 0.500
Mg: 0.500 0.000 0.500
Mg: 0.500 0.500 0.000
Pb: 0.000 0.000 0.500
Pb: 0.000 0.500 0.000
Pb: 0.500 0.000 0.000
Pb: 0.500 0.500 0.500

**Energy of formation**: 0.00 eV per atom
**E**: -80.57 eV per cell
**Size of the total moment**: 0.44 μB/f.u.

***

Record 8
DFT (GGA-PBE) results for crystalline Zr3NbFe at its relaxed geometry.

Cell lengths 4.781, 4.781, 4.781 Å; angles 90.00, 90.00, 90.00 degrees
Atoms (fractional coordinates):
Zr: 0.000 0.000 0.500
Zr: 0.000 0.500 0.000
Zr: 0.500 0.000 0.000
Nb: 0.500 0.500 0.500
Fe: 0.000 0.000 0.000

**Energy of formation**: 0.46 eV per atom
**Distance to the lowest polymorph of the same formula**: 0.00 eV per formula unit
**E**: -41.89 eV per cell
**Size of the total moment**: 0.00 μB/f.u.

***

- Which of these has the lowest E?
  Th2MgPb

***

- Which value of size of the total moment does entry 5 give?
  0.00 μB/f.u.

***

- E of number 3 (RbIr2Cl8)?
  -39.69 eV per cell

***

Copy entry 4 word for word.
DFT (GGA-PBE) results for crystalline LiYC at its relaxed geometry.

Cell lengths 3.754, 3.754, 6.932 Å; angles 90.00, 90.00, 120.00 degrees
Atoms (fractional coordinates):
Li: 0.333 0.667 0.000
Li: 0.667 0.333 0.500
Y: 0.000 0.000 0.250
Y: 0.000 0.000 0.750
C: 0.333 0.667 0.427
C: 0.667 0.333 0.927

**Energy of formation**: 0.01 eV per atom
**Distance to the lowest polymorph of the same formula**: 0.42 eV per formula unit
**E**: -35.17 eV per cell
**Size of the total moment**: 0.00 μB/f.u.